(1)
Density functional theory data (PBE) for crystalline TlCdIrF2 at its relaxed geometry.

Cell and atoms, written as POSCAR:
```
TlCdIrF2
1.0
4.318 0.000 0.000
0.000 4.318 0.000
0.000 0.000 5.573
Tl Cd Ir F
1 1 1 2
direct
0.000 0.000 0.000
0.500 0.500 0.500
0.000 0.000 0.500
0.000 0.500 0.000
0.500 0.000 0.000
```

Computed properties:
As for the density: 8740 kg/m³. The electronic total energy comes out at -3.454 eV/atom. As for the total moment: 0.2 μB/cell. For the uncorrected formation energy, the calculation gives -0.277 eV/atom.



(2)
Density functional theory data (PBE) for crystalline Pr4SeS2Br at its relaxed geometry.

Cell and atoms, written as POSCAR:
```
Pr4SeS2Br
1.0
0.000 5.913 4.160
4.229 0.000 4.160
4.229 5.913 0.000
Pr Se S Br
4 1 2 1
direct
0.037 0.481 0.963
0.245 0.755 0.245
0.481 0.037 0.519
0.755 0.245 0.755
0.981 0.981 0.019
0.250 0.250 0.250
0.750 0.750 0.750
0.539 0.539 0.461
```

Computed properties:
As for the density: 6279 kg/m³. The electronic total energy comes out at -5.759 eV/atom. As for the total moment: 0.0 μB/cell. For the uncorrected formation energy, the calculation gives -1.693 eV/atom.